(1)
This record from the Alexandria database describes an optimized crystal structure of BeTlAu2. The functional is PBE.

Cell and atoms, written as POSCAR:
```
BeTlAu2
1.0
-1.9031 -7.1822 0.6932
1.9583 -6.9101 -2.0252
0.9894 6.8492 2.7921
Au Be Tl
2 1 1
Cartesian
-0.4477 -2.4768 1.5243
0.0547 -13.9460 -1.3181
0.0296 -7.5511 -0.7137
1.4911 -4.4075 -0.0303
```

Calculated total energy, eV per cell: -12.6
Space-group type: Imm2 (44)
Formation energy, eV/atom: 0.01

(2)
This record from the Alexandria database describes an optimized crystal structure of Ho3MnS6. The functional is PBE.

Cell and atoms, written as POSCAR:
```
Ho3MnS6
1.0
6.4993 0.0000 0.0000
0.0000 8.4307 0.0368
0.0000 -1.8455 8.2263
S Mn Ho
12 2 6
Cartesian
1.0865 6.1696 1.8387
1.2159 2.5193 2.5490
4.4656 1.9226 3.0246
1.2159 4.6626 5.2384
4.5342 6.7934 3.5826
4.5342 4.6089 0.8414
1.2845 1.9763 7.4216
4.3361 0.4156 6.4243
1.2845 -0.2082 4.6804
1.1267 -1.4404 7.9035
4.3764 8.0256 0.3596
4.4656 4.0659 5.7140
0.1301 0.2117 6.5868
3.3797 6.3735 1.6762
3.1214 2.2222 0.6976
5.8156 4.3131 3.3182
2.5660 2.2721 4.9448
6.3711 0.1841 2.3218
6.3711 4.3630 7.5654
3.1214 6.4011 5.9412
```

Calculated total energy, eV per cell: -128.0
Space-group type: Cmc2_1 (36)

(3)
This record from the Alexandria database describes an optimized crystal structure of PrBeAl2Ir2. The functional is PBE.

Cell and atoms, written as POSCAR:
```
PrBeAl2Ir2
1.0
4.2736 0.0000 0.0000
0.0000 4.2736 0.0000
0.0000 0.0000 5.7019
Al Ir Pr Be
2 2 1 1
Cartesian
2.1368 2.1368 1.4807
2.1368 2.1368 4.2212
2.1368 0.0000 0.0000
0.0000 2.1368 0.0000
0.0000 0.0000 2.8509
0.0000 0.0000 0.0000
```

Calculated total energy, eV per cell: -37.8
Space-group type: P4/mmm (123)
Formation energy, eV/atom: -0.68

(4)
This record from the Alexandria database describes an optimized crystal structure of K2CeBr3Cl3. The functional is PBE.

Cell and atoms, written as POSCAR:
```
K2CeBr3Cl3
1.0
4.3533 0.0000 0.0000
0.0000 8.2901 0.0000
0.0000 -4.1451 7.1795
K Cl Br Ce
2 3 3 1
Cartesian
2.1766 0.0000 4.7863
2.1766 4.1451 2.3932
2.1766 6.4042 0.0000
2.1766 0.9430 1.6332
2.1766 -3.2021 5.5462
0.0000 3.0284 0.0000
0.0000 -1.5142 2.6226
0.0000 2.6309 4.5568
0.0000 0.0000 0.0000
```

Calculated total energy, eV per cell: -34.7
Space-group type: P-62m (189)

(5)
This record from the Alexandria database describes an optimized crystal structure of SrBe3Pb. The functional is PBE.

Cell and atoms, written as POSCAR:
```
SrBe3Pb
1.0
5.3003 0.0000 0.0000
0.0000 5.3003 0.0000
0.0000 0.0000 5.3003
Sr Be Pb
1 3 1
Cartesian
0.0000 0.0000 0.0000
2.6502 0.0000 0.0000
0.0000 0.0000 2.6502
0.0000 2.6502 0.0000
2.6502 2.6502 2.6502
```

Calculated total energy, eV per cell: -7.1
Space-group type: Pm-3m (221)
Formation energy, eV/atom: 1.90

(6)
This record from the Alexandria database describes an optimized crystal structure of TmPuFe4. The functional is PBE.

Cell and atoms, written as POSCAR:
```
TmPuFe4
1.0
-4.6335 0.3356 1.7963
1.7478 -4.3894 -1.5769
2.8971 -1.6414 7.7797
Tm Fe Pu
2 8 2
Cartesian
-0.8553 -2.1748 5.1056
0.8667 -3.5203 2.8934
2.8349 -4.8200 4.7677
0.5229 -4.6526 5.6640
-2.8235 -0.8751 3.2314
0.0000 0.0000 0.0000
1.9628 -2.6298 5.5545
-1.9514 -3.0653 2.4445
-0.5115 -1.0426 2.3351
1.4485 -0.8207 3.8899
-0.2392 -2.8938 -0.0763
0.2506 -2.8014 8.0754
```

Calculated total energy, eV per cell: -105.1
Space-group type: P-3m1 (164)
Formation energy, eV/atom: 0.02